# 1
The following is a PBE-GGA calculation of LiVAs2Br after structural relaxation, from Alexandria.

The structure belongs to space group P4/mmm (No. 123); the cell edges are 4.476, 4.476 and 5.110 Å and the angles 90.00°, 90.00° and 90.00°. The inequivalent atoms are Li at (0.000, 0.000, 0.000), V at (0.500, 0.500, 0.500), As at (0.000, 0.500, 0.000) and Br at (0.000, 0.000, 0.500).

The value obtained for the energy above the most stable polymorph in this dataset is 722 meV per atom. The formation energy from raw total energies comes out at 0.542 eV per atom. The value obtained for the raw total energy is -19.30 eV per cell. The calculation puts the density at 4.7 Mg/m³. As for the volume: 102 Å³ per cell.

=====

# 2
The following is a PBE-GGA calculation of Li4PdAu4 after structural relaxation, from Alexandria.

The structure belongs to space group I4/mmm (No. 139); the cell edges are 8.533, 8.533 and 4.039 Å and the angles 90.00°, 90.00° and 90.00°. The inequivalent atoms are Li at (0.000, 0.304, 0.000), Pd at (0.000, 0.000, 0.000) and Au at (0.170, 0.170, 0.500).

The value obtained for the raw total energy is -60.13 eV per cell. The calculation puts the density at 10.4 Mg/m³. The calculated formation energy is -44.0 kJ/mol of atoms. As for the volume: 294 Å³ per cell.

=====

# 3
The following is a PBE-GGA calculation of Mg2Mn2Sn after structural relaxation, from Alexandria.

The structure belongs to space group I4/mmm (No. 139); the cell edges are 3.184, 3.184 and 18.106 Å and the angles 90.00°, 90.00° and 90.00°. The inequivalent atoms are Mg at (0.000, 0.000, 0.124), Mn at (0.000, 0.500, 0.250) and Sn at (0.000, 0.000, 0.500).

The value obtained for the energy above the most stable polymorph in this dataset is 113 meV per atom. The value obtained for the raw total energy is -48.06 eV per cell. The calculation puts the density at 5.0 Mg/m³. The calculated formation energy is 29.0 kJ/mol of atoms. As for the volume: 184 Å³ per cell.

=====

# 4
The following is a PBE-GGA calculation of Tb6DyY3Sc2 after structural relaxation, from Alexandria.

The structure belongs to space group C2/m (No. 12); the cell edges are 6.097, 10.549 and 11.600 Å and the angles 90.00°, 100.05° and 90.00°. The inequivalent atoms are Tb at (0.246, 0.000, 0.244), Tb at (0.250, 0.168, 0.756), Dy at (0.000, 0.500, 0.000), Y at (0.000, 0.000, 0.500), Y at (0.000, 0.333, 0.500) and Sc at (0.000, 0.167, 0.000).

The value obtained for the raw total energy is -127.98 eV per cell. The calculation puts the density at 6.7 Mg/m³. The calculated formation energy is 3.6 kJ/mol of atoms. As for the volume: 735 Å³ per cell.

=====

- raw total energy of number 3 (Mg2Mn2Sn)?
  -48.06 eV per cell